(A)
{"formula": "Cr2CdHg2", "functional": "GGA-PBE", "state": "relaxed", "rho_g_cm3": 11.0, "space_group": "P4/mbm", "lattice": [[6.9505, 0.0000, 0.0000], [0.0000, 6.9505, 0.0000], [0.0000, 0.0000, 3.8674]], "species": ["Cr", "Cr", "Cr", "Cr", "Hg", "Hg", "Hg", "Hg", "Cd", "Cd"], "fractional_positions": [[0.4040, 0.9040, 0.0000], [0.9040, 0.5960, 0.0000], [0.5960, 0.0960, 0.0000], [0.0960, 0.4040, 0.0000], [0.1930, 0.6930, 0.5000], [0.6930, 0.8070, 0.5000], [0.8070, 0.3070, 0.5000], [0.3070, 0.1930, 0.5000], [0.0000, 0.0000, 0.0000], [0.5000, 0.5000, 0.0000]]}

(B)
{"formula": "Cr2CdHg2", "functional": "GGA-PBE", "state": "relaxed", "rho_g_cm3": 10.3, "space_group": "I4/mmm", "lattice": [[4.1819, 0.0000, 0.0000], [0.0000, 4.1819, 0.0000], [2.0910, 2.0910, 5.7134]], "species": ["Cr", "Cr", "Hg", "Hg", "Cd"], "fractional_positions": [[0.4222, 0.4222, 0.1555], [0.5778, 0.5778, 0.8445], [0.7500, 0.2500, 0.5000], [0.2500, 0.7500, 0.5000], [0.0000, 0.0000, 0.0000]]}

Stability summary - winner: (A); margin: 141 meV/atom.

(A)
{"formula": "Ho2CrCd", "functional": "GGA-PBE", "state": "relaxed", "rho_g_cm3": 8.5, "space_group": "Fm-3m", "lattice": [[-4.1928, -0.5195, 2.9603], [-3.5800, -3.5176, -1.1928], [-0.5746, -4.1966, 2.9447]], "species": ["Cr", "Ho", "Ho", "Cd"], "fractional_positions": [[0.0000, 0.0000, 0.0000], [0.2500, 0.2500, 0.2500], [0.7500, 0.7500, 0.7500], [0.5000, 0.5000, 0.5000]]}

(B)
{"formula": "Ho2CrCd", "functional": "GGA-PBE", "state": "relaxed", "rho_g_cm3": 8.5, "space_group": "P4/mmm", "lattice": [[-0.9798, -2.9888, -1.6354], [-1.0466, -1.3554, 3.1041], [-7.0109, 2.8992, -1.0979]], "species": ["Cr", "Ho", "Ho", "Cd"], "fractional_positions": [[0.5000, 0.5000, 0.0000], [0.0000, 0.0000, 0.7741], [0.0000, 0.0000, 0.2259], [0.5000, 0.5000, 0.5000]]}

Stability summary - winner: (B); margin: 20 meV/atom.